[1]
## ZnIrAu2 (GGA-PBE)

Data for a relaxed structure of ZnIrAu2.

## Properties
Calculated density in g/cm³: 16.69
Energy of formation in eV/atom: 0.098

Cell lengths 3.130, 4.501, 4.602 Å; angles 90.00, 90.00, 90.00 degrees
Space group Pmmm (No. 47)
Symmetry-distinct sites (fractional):
Zn (0.000, 0.000, 0.000) x1
Ir (0.500, 0.500, 0.000) x1
Au (0.000, 0.500, 0.500) x1
Au (0.500, 0.000, 0.500) x1


[2]
## Nd3Te2Pt (GGA-PBE)

Data for a relaxed structure of Nd3Te2Pt.

## Properties
Calculated density in g/cm³: 7.97
Energy above the most stable polymorph in this dataset in eV/f.u.: 0.157

Cell lengths 4.421, 4.421, 18.813 Å; angles 90.00, 90.00, 90.00 degrees
Space group I4/mmm (No. 139)
Symmetry-distinct sites (fractional):
Nd (0.000, 0.000, 0.000) x2
Nd (0.000, 0.000, 0.350) x4
Te (0.000, 0.000, 0.175) x4
Pt (0.000, 0.000, 0.500) x2


[3]
## LaPm4NdSm2 (GGA-PBE)

Data for a relaxed structure of LaPm4NdSm2.

## Properties
Calculated density in g/cm³: 6.94
Energy of formation in eV/atom: 0.017

Cell lengths 6.335, 3.670, 12.176 Å; angles 90.00, 100.30, 90.00 degrees
Space group P2/m (No. 10)
Symmetry-distinct sites (fractional):
La (0.000, 0.000, 0.000) x1
Pm (0.250, 0.000, 0.748) x2
Pm (0.250, 0.500, 0.253) x2
Nd (0.500, 0.500, 0.000) x1
Sm (0.000, 0.500, 0.500) x1
Sm (0.500, 0.000, 0.500) x1


[4]
## Hf2GaNi (GGA-PBE)

Data for a relaxed structure of Hf2GaNi.

## Properties
Calculated density in g/cm³: 10.25
Energy of formation in eV/atom: 0.316

Cell lengths 4.135, 4.135, 18.396 Å; angles 90.00, 90.00, 90.00 degrees
Space group I-42d (No. 122)
Symmetry-distinct sites (fractional):
Hf (0.249, 0.250, 0.125) x8
Ga (0.000, 0.000, 0.000) x4
Ni (0.000, 0.000, 0.500) x4


[5]
## Dy5YTlIn2 (GGA-PBE)

Data for a relaxed structure of Dy5YTlIn2.

## Properties
Calculated density in g/cm³: 8.47
Energy of formation in eV/atom: -0.044

Cell lengths 8.573, 8.573, 14.252 Å; angles 90.00, 90.00, 90.00 degrees
Space group I4/mcm (No. 140)
Symmetry-distinct sites (fractional):
Dy (0.000, 0.000, 0.000) x4
Dy (0.209, 0.291, 0.133) x16
Y (0.000, 0.500, 0.250) x4
Tl (0.000, 0.000, 0.250) x4
In (0.110, 0.390, 0.500) x8


[6]
## BaNa2In2 (GGA-PBE)

Data for a relaxed structure of BaNa2In2.

## Properties
Calculated density in g/cm³: 3.88
Energy of formation in eV/atom: -0.166
Energy above the most stable polymorph in this dataset in eV/f.u.: 0.191

Cell lengths 4.850, 4.850, 15.032 Å; angles 90.00, 90.00, 90.00 degrees
Space group I4/mmm (No. 139)
Symmetry-distinct sites (fractional):
Ba (0.000, 0.000, 0.000) x2
Na (0.000, 0.500, 0.250) x4
In (0.000, 0.000, 0.399) x4


[7]
## Pm3NdTh4As8 (GGA-PBE)

Data for a relaxed structure of Pm3NdTh4As8.

## Properties
Calculated density in g/cm³: 8.05
Energy of formation in eV/atom: -1.478

Cell lengths 8.5115, 8.5115, 20.7712 Å; angles 90.00, 90.00, 120.00 degrees
Space group R-3m (No. 166, hexagonal axes)
Symmetry-distinct sites (fractional):
Pm (0.0000, 0.5000, 0.0000) x9
Nd (0.0000, 0.0000, 0.0000) x3
Th (0.0000, 0.0000, 0.5000) x3
Th (0.0000, 0.5000, 0.5000) x9
As (0.0000, 0.0000, 0.2496) x6
As (0.0009, 0.5004, 0.2494) x18


[8]
## Pu5InPb3 (GGA-PBE)

Data for a relaxed structure of Pu5InPb3.

## Properties
Calculated density in g/cm³: 12.83
Energy of formation in eV/atom: -0.120

Cell lengths 9.4711, 9.4711, 6.5180 Å; angles 90.00, 90.00, 120.00 degrees
Space group P6_3/mcm (No. 193)
Symmetry-distinct sites (fractional):
Pu (0.0000, 0.3063, 0.2500) x6
Pu (0.3333, 0.6667, 0.0000) x4
In (0.0000, 0.0000, 0.0000) x2
Pb (0.0000, 0.3575, 0.7500) x6


[9]
## ThTl3 (GGA-PBE)

Data for a relaxed structure of ThTl3.

## Properties
Calculated density in g/cm³: 11.99
Energy of formation in eV/atom: -0.051

Cell lengths 3.489, 11.189, 5.994 Å; angles 90.00, 90.00, 90.00 degrees
Space group Imm2 (No. 44)
Symmetry-distinct sites (fractional):
Th (0.000, 0.000, 0.000) x2
Tl (0.000, 0.251, 0.681) x4
Tl (0.000, 0.500, 0.009) x2


[10]
## K3TmNp3Te8 (GGA-PBE)

Data for a relaxed structure of K3TmNp3Te8.

## Properties
Calculated density in g/cm³: 5.74
Total energy in eV/cell: -171.96

Cell lengths 15.552, 8.988, 9.814 Å; angles 90.00, 121.72, 90.00 degrees
Space group C2/m (No. 12)
Symmetry-distinct sites (fractional):
K (0.000, 0.000, 0.000) x2
K (0.250, 0.250, 0.000) x4
Tm (0.000, 0.000, 0.500) x2
Np (0.000, 0.500, 0.500) x2
Np (0.250, 0.250, 0.500) x4
Te (0.014, 0.248, 0.295) x8
Te (0.233, 0.000, 0.704) x4
Te (0.237, 0.500, 0.710) x4